Entry 1:
InCoWAu | OQMD via LeMat-Bulk | GGA-PBE | relaxed; energy above the lowest structure with this stoichiometry = 0 meV per atom; uncorrected energy = -5.987 eV per atom
1.0
6.3848 0.0000 0.0000
0.0000 6.3848 0.0000
0.0000 0.0000 6.3848
In Co W Au
4 4 4 4
Direct
0.0000 0.0000 0.0000
0.0000 0.5000 0.5000
0.5000 0.0000 0.5000
0.5000 0.5000 0.0000
0.2500 0.2500 0.2500
0.2500 0.7500 0.7500
0.7500 0.2500 0.7500
0.7500 0.7500 0.2500
0.0000 0.0000 0.5000
0.0000 0.5000 0.0000
0.5000 0.0000 0.0000
0.5000 0.5000 0.5000
0.2500 0.2500 0.7500
0.2500 0.7500 0.2500
0.7500 0.2500 0.2500
0.7500 0.7500 0.7500

---

Entry 2:
ZnInCoAu | OQMD via LeMat-Bulk | GGA-PBE | relaxed; energy above the lowest structure with this stoichiometry = 0 meV per atom; uncorrected energy = -3.530 eV per atom
1.0
6.3625 0.0000 0.0000
0.0000 6.3625 0.0000
0.0000 0.0000 6.3625
Zn In Co Au
4 4 4 4
Direct
0.0000 0.0000 0.0000
0.0000 0.5000 0.5000
0.5000 0.0000 0.5000
0.5000 0.5000 0.0000
0.0000 0.0000 0.5000
0.0000 0.5000 0.0000
0.5000 0.0000 0.0000
0.5000 0.5000 0.5000
0.2500 0.2500 0.7500
0.2500 0.7500 0.2500
0.7500 0.2500 0.2500
0.7500 0.7500 0.7500
0.2500 0.2500 0.2500
0.2500 0.7500 0.7500
0.7500 0.2500 0.7500
0.7500 0.7500 0.2500

---

Entry 3:
CoIrAu2 | OQMD via LeMat-Bulk | GGA-PBE | relaxed; energy of formation from the pure elements = 460 meV per atom; uncorrected energy = -5.164 eV per atom
1.0
6.3160 0.0000 0.0000
0.0000 6.3160 0.0000
0.0000 0.0000 6.3160
Co Ir Au
4 4 8
Direct
0.0000 0.0000 0.0000
0.0000 0.5000 0.5000
0.5000 0.0000 0.5000
0.5000 0.5000 0.0000
0.2500 0.2500 0.2500
0.2500 0.7500 0.7500
0.7500 0.2500 0.7500
0.7500 0.7500 0.2500
0.0000 0.0000 0.5000
0.0000 0.5000 0.0000
0.2500 0.2500 0.7500
0.2500 0.7500 0.2500
0.5000 0.0000 0.0000
0.5000 0.5000 0.5000
0.7500 0.2500 0.2500
0.7500 0.7500 0.7500

---

Entry 4:
Co2IrAu | OQMD via LeMat-Bulk | GGA-PBE | relaxed; energy of formation from the pure elements = 425 meV per atom; uncorrected energy = -6.158 eV per atom
1.0
6.0899 0.0000 0.0000
0.0000 6.0899 0.0000
0.0000 0.0000 6.0899
Co Ir Au
8 4 4
Direct
0.0000 0.0000 0.0000
0.0000 0.5000 0.5000
0.2500 0.2500 0.2500
0.2500 0.7500 0.7500
0.5000 0.0000 0.5000
0.5000 0.5000 0.0000
0.7500 0.2500 0.7500
0.7500 0.7500 0.2500
0.2500 0.2500 0.7500
0.2500 0.7500 0.2500
0.7500 0.2500 0.2500
0.7500 0.7500 0.7500
0.0000 0.0000 0.5000
0.0000 0.5000 0.0000
0.5000 0.0000 0.0000
0.5000 0.5000 0.5000

---

Entry 5:
CoSiIrAu | OQMD via LeMat-Bulk | GGA-PBE | relaxed; energy above the lowest structure with this stoichiometry = 0 meV per atom; uncorrected energy = -6.045 eV per atom
1.0
6.0827 0.0000 0.0000
0.0000 6.0827 0.0000
0.0000 0.0000 6.0827
Co Si Ir Au
4 4 4 4
Direct
0.0000 0.0000 0.0000
0.0000 0.5000 0.5000
0.5000 0.0000 0.5000
0.5000 0.5000 0.0000
0.2500 0.2500 0.7500
0.2500 0.7500 0.2500
0.7500 0.2500 0.2500
0.7500 0.7500 0.7500
0.0000 0.0000 0.5000
0.0000 0.5000 0.0000
0.5000 0.0000 0.0000
0.5000 0.5000 0.5000
0.2500 0.2500 0.2500
0.2500 0.7500 0.7500
0.7500 0.2500 0.7500
0.7500 0.7500 0.2500

---

Entry 6:
CoSnIrAu | OQMD via LeMat-Bulk | GGA-PBE | relaxed; energy above the lowest structure with this stoichiometry = 0 meV per atom; uncorrected energy = -5.648 eV per atom
1.0
6.3550 0.0000 0.0000
0.0000 6.3550 0.0000
0.0000 0.0000 6.3550
Co Sn Ir Au
4 4 4 4
Direct
0.0000 0.0000 0.0000
0.0000 0.5000 0.5000
0.5000 0.0000 0.5000
0.5000 0.5000 0.0000
0.2500 0.2500 0.7500
0.2500 0.7500 0.2500
0.7500 0.2500 0.2500
0.7500 0.7500 0.7500
0.0000 0.0000 0.5000
0.0000 0.5000 0.0000
0.5000 0.0000 0.0000
0.5000 0.5000 0.5000
0.2500 0.2500 0.2500
0.2500 0.7500 0.7500
0.7500 0.2500 0.7500
0.7500 0.7500 0.2500

---

Looking at spin magnetization for the records above, in order, we have 0.14, 4.39, 10.50, 18.33, 3.64, 4.05 Bohr magnetons per cell.